[1]
First-principles (PBE) data for crystalline Pm3YSn6 at its relaxed geometry, as listed in Alexandria via LeMat-Bulk.

**ρ**: 7.02 g cm⁻³
**Space group**: P2_1/c (14)
**Total energy**: -4.965 eV/atom
**Total moment**: 0.00 μB/atom
**Density of states at the Fermi level**: 0.604 states/eV per atom

Structure (extended XYZ):
```
20
Lattice="-6.707 -2.473 -1.730 1.001 -7.139 6.320 -3.999 4.524 5.744" Properties=species:S:1:pos:R:3 pbc="T T T"
Sn -6.765 -0.793 3.532
Pm -2.000 2.262 2.872
Pm -9.256 -1.669 5.420
Pm -2.853 -4.806 2.295
Sn -4.607 1.134 4.682
Sn -7.395 -4.318 6.039
Sn -5.098 -6.222 5.651
Pm -5.499 -4.556 8.834
Sn -1.373 -2.093 1.769
Pm -0.449 -3.420 4.913
Sn -1.882 -6.485 5.042
Sn -5.828 -3.311 1.783
Sn -7.823 1.396 5.291
Sn -3.877 -1.777 8.550
Y -4.853 -2.544 5.167
Y 0.000 0.000 0.000
Sn -8.332 -2.995 8.565
Pm -4.206 -0.532 1.499
Sn -2.940 -4.295 6.801
Sn -2.310 -0.770 4.294
```

[2]
First-principles (PBE) data for crystalline Sm4ZrRh5 at its relaxed geometry, as listed in Alexandria via LeMat-Bulk.

**ρ**: 9.67 g cm⁻³
**Space group**: P4/mmm (123)
**Total energy**: -7.141 eV/atom
**Total moment**: 0.00 μB/atom
**Density of states at the Fermi level**: 0.709 states/eV per atom

Structure (extended XYZ):
```
10
Lattice="-2.976 -0.030 1.680 1.680 -0.057 2.976 0.012 17.747 0.336" Properties=species:S:1:pos:R:3 pbc="T T T"
Zr 0.000 0.000 0.000
Sm 0.005 7.065 0.134
Rh -0.644 5.208 2.427
Rh -0.647 1.467 2.356
Sm 0.007 10.682 0.202
Rh -0.640 12.452 2.564
Sm 0.002 3.464 0.066
Sm 0.010 14.283 0.270
Rh -0.637 16.193 2.635
Rh -0.642 8.830 2.496
```

[3]
First-principles (PBE) data for crystalline GaAgMo2 at its relaxed geometry, as listed in Alexandria via LeMat-Bulk.

**ρ**: 8.86 g cm⁻³
**Space group**: I-42d (122)
**Total energy**: -6.133 eV/atom
**Total moment**: 0.00 μB/atom
**Density of states at the Fermi level**: 0.992 states/eV per atom

Structure (extended XYZ):
```
8
Lattice="7.279 0.000 0.000 0.000 7.279 0.000 3.640 3.640 2.614" Properties=species:S:1:pos:R:3 pbc="T T T"
Ag 0.000 0.000 0.000
Ag 7.279 3.640 1.307
Mo 5.459 5.605 1.960
Mo 1.965 5.459 0.653
Ga 3.640 7.279 1.307
Mo 9.099 8.954 1.960
Mo 5.314 1.820 0.653
Ga 3.640 3.640 0.000
```

[4]
First-principles (PBE) data for crystalline NaLiZn2 at its relaxed geometry, as listed in Alexandria via LeMat-Bulk.

**ρ**: 3.44 g cm⁻³
**Space group**: Fm-3m (225)
**Total energy**: -1.388 eV/atom
**Total moment**: 0.00 μB/atom
**Density of states at the Fermi level**: 0.415 states/eV per atom

Structure (extended XYZ):
```
4
Lattice="3.070 -2.295 2.870 2.348 2.408 3.409 -1.096 -0.696 4.609" Properties=species:S:1:pos:R:3 pbc="T T T"
Li 0.000 0.000 0.000
Zn 3.241 -0.438 8.167
Na 2.161 -0.292 5.445
Zn 1.080 -0.146 2.722
```

[5]
First-principles (PBE) data for crystalline Y2Te2I at its relaxed geometry, as listed in Alexandria via LeMat-Bulk.

**ρ**: 5.40 g cm⁻³
**ΔE_f (raw)**: -1.367 eV/atom
**Space group**: I4/mmm (139)
**Total moment**: 0.00 μB/atom
**Density of states at the Fermi level**: 0.387 states/eV per atom

Structure (extended XYZ):
```
5
Lattice="-1.985 2.243 -3.163 -3.026 -3.118 -0.312 -2.539 4.713 7.937" Properties=species:S:1:pos:R:3 pbc="T T T"
Y -1.687 1.430 2.073
Te -3.419 2.898 4.201
Te -4.131 0.940 0.260
Y -5.863 2.408 2.388
I 0.000 0.000 0.000
```

[6]
First-principles (PBE) data for crystalline Er5Ir2 at its relaxed geometry, as listed in Alexandria via LeMat-Bulk.

**ρ**: 11.34 g cm⁻³
**Space group**: C2/c (15)
**Total energy**: -6.486 eV/atom
**Total moment**: 0.00 μB/atom
**Density of states at the Fermi level**: 0.953 states/eV per atom

Structure (extended XYZ):
```
14
Lattice="-2.733 5.536 -1.856 -5.655 -1.394 4.171 5.565 1.089 6.249" Properties=species:S:1:pos:R:3 pbc="T T T"
Er -1.494 4.404 2.605
Er -1.918 0.778 2.508
Er -2.974 2.810 -0.016
Er 1.124 2.283 3.619
Ir 1.454 1.220 6.329
Er -1.329 0.827 5.959
Er -5.415 1.331 2.331
Ir -2.553 2.911 7.614
Er -0.905 4.453 6.056
Er 4.012 0.918 5.389
Er -6.836 4.312 3.175
Ir -4.277 4.011 2.234
Ir -0.270 2.319 0.950
Er -3.947 2.948 4.944
```

[7]
First-principles (PBE) data for crystalline CaNdDy2Se4 at its relaxed geometry, as listed in Alexandria via LeMat-Bulk.

**ρ**: 6.82 g cm⁻³
**ΔE_f (raw)**: -1.830 eV/atom
**Space group**: P2/m (10)
**Total moment**: 0.00 μB/atom
**Density of states at the Fermi level**: 0.373 states/eV per atom

Structure (extended XYZ):
```
8
Lattice="4.117 0.000 0.000 0.000 7.171 -0.162 0.000 2.506 6.753" Properties=species:S:1:pos:R:3 pbc="T T T"
Se 0.000 7.306 4.885
Se 2.058 3.614 5.014
Dy 2.058 1.253 3.376
Se 2.058 6.062 1.577
Dy 0.000 2.506 6.753
Se 4.117 2.371 1.706
Ca 0.000 4.838 3.296
Nd 2.058 3.585 -0.081
```

[8]
First-principles (PBE) data for crystalline CaMgCr2N at its relaxed geometry, as listed in Alexandria via LeMat-Bulk.

**ρ**: 2.10 g cm⁻³
**ΔE_f (raw)**: 1.999 eV/atom
**Space group**: P4/mmm (123)
**Total moment**: 1.50 μB/atom
**Density of states at the Fermi level**: 0.963 states/eV per atom

Structure (extended XYZ):
```
5
Lattice="-2.382 4.252 -0.616 -5.122 -2.989 -0.821 -0.891 0.200 4.827" Properties=species:S:1:pos:R:3 pbc="T T T"
Cr -1.191 2.126 -0.308
Mg 0.000 0.000 0.000
Cr -0.446 0.100 2.413
N -4.197 0.732 1.695
Ca -2.561 -1.494 -0.411
```